[1]
The following is a PBE-GGA calculation of TmZrBeFe after structural relaxation, from Alexandria via LeMat-Bulk.

Cell: 4.584 4.584 4.584 Å, 60.00 60.00 60.00°
Positions (direct):
Be1 0.500 0.500 0.500
Zr1 0.750 0.750 0.750
Tm1 0.250 0.250 0.250
Fe1 0.000 0.000 0.000

- Spin magnetization: 0.17 μB per cell
- Crystal system: cubic
- Final energy: -0.463 Ry/atom

---

[2]
The following is a PBE-GGA calculation of UBe4Fe after structural relaxation, from Alexandria via LeMat-Bulk.

Cell: 4.602 4.602 4.602 Å, 60.00 60.00 60.00°
Positions (direct):
Be1 0.117 0.628 0.628
Be2 0.628 0.628 0.628
Be3 0.628 0.117 0.628
Be4 0.628 0.628 0.117
U1 0.250 0.250 0.250
Fe1 0.000 0.000 0.000

- Spin magnetization: 1.99 μB per cell
- Crystal system: cubic
- Final energy: -0.411 Ry/atom

---

[3]
The following is a PBE-GGA calculation of U2BeFe3 after structural relaxation, from Alexandria via LeMat-Bulk.

Cell: 4.599 4.599 4.599 Å, 67.71 67.71 67.71°
Positions (direct):
U1 0.371 0.371 0.371
U2 0.629 0.629 0.629
Fe1 0.000 0.500 0.000
Fe2 0.500 0.000 0.000
Fe3 0.000 0.000 0.500
Be1 0.000 0.000 0.000

- Spin magnetization: 0.00 μB per cell
- Crystal system: trigonal
- Final energy: -0.645 Ry/atom

---

[4]
The following is a PBE-GGA calculation of U2BeFe after structural relaxation, from Alexandria via LeMat-Bulk.

Cell: 2.816 2.816 10.147 Å, 82.02 82.02 60.00°
Positions (direct):
U1 0.093 0.093 0.722
U2 0.907 0.907 0.278
Be1 0.000 0.000 0.000
Fe1 0.500 0.500 0.500

- Spin magnetization: 0.93 μB per cell
- Crystal system: trigonal
- Final energy: -0.584 Ry/atom

---

[5]
The following is a PBE-GGA calculation of BeVFe after structural relaxation, from Alexandria via LeMat-Bulk.

Cell: 4.028 3.894 8.121 Å, 90.00 90.00 90.00°
Positions (direct):
Be1 0.500 0.000 0.587
Be2 0.500 0.500 0.087
Be3 0.000 0.000 0.430
Be4 0.000 0.500 0.930
V1 0.500 0.500 0.419
V2 0.500 0.000 0.919
V3 0.000 0.500 0.250
V4 0.000 0.000 0.750
Fe1 0.500 0.500 0.761
Fe2 0.000 0.500 0.592
Fe3 0.000 0.000 0.092
Fe4 0.500 0.000 0.261

- Spin magnetization: 0.47 μB per cell
- Crystal system: orthorhombic
- Final energy: -0.528 Ry/atom
- Polymorph energy (0 for the lowest one): 0.065 eV/atom

---

[6]
The following is a PBE-GGA calculation of BeVFe after structural relaxation, from Alexandria via LeMat-Bulk.

Cell: 3.834 2.821 6.085 Å, 90.00 106.52 90.00°
Positions (direct):
Fe1 0.406 0.000 0.706
Fe2 0.745 0.000 0.340
V1 0.903 0.500 0.702
V2 0.066 0.000 0.083
Be1 0.534 0.500 0.011
Be2 0.281 0.500 0.414

- Spin magnetization: 0.00 μB per cell
- Crystal system: monoclinic
- Final energy: -0.531 Ry/atom
- Polymorph energy (0 for the lowest one): 0.027 eV/atom

---

[7]
The following is a PBE-GGA calculation of BeVFe after structural relaxation, from Alexandria via LeMat-Bulk.

Cell: 4.861 3.972 7.803 Å, 90.00 122.57 90.00°
Positions (direct):
V1 0.923 0.000 0.226
V2 0.417 0.000 0.885
V3 0.417 0.500 0.385
V4 0.923 0.500 0.726
Be1 0.468 0.500 0.079
Be2 0.922 0.000 0.900
Be3 0.468 0.000 0.579
Be4 0.922 0.500 0.400
Fe1 0.413 0.000 0.218
Fe2 0.935 0.500 0.066
Fe3 0.935 0.000 0.566
Fe4 0.413 0.500 0.718

- Spin magnetization: 0.00 μB per cell
- Crystal system: monoclinic
- Final energy: -0.530 Ry/atom
- Polymorph energy (0 for the lowest one): 0.037 eV/atom

---

[8]
The following is a PBE-GGA calculation of BeVFe4 after structural relaxation, from Alexandria via LeMat-Bulk.

Cell: 4.621 4.621 4.621 Å, 60.00 60.00 60.00°
Positions (direct):
Fe1 0.626 0.626 0.124
Fe2 0.124 0.626 0.626
Fe3 0.626 0.124 0.626
Fe4 0.626 0.626 0.626
V1 0.250 0.250 0.250
Be1 0.000 0.000 0.000

- Spin magnetization: 5.93 μB per cell
- Crystal system: cubic
- Final energy: -0.568 Ry/atom

---

[9]
The following is a PBE-GGA calculation of Be8VFe3 after structural relaxation, from Alexandria via LeMat-Bulk.

Cell: 4.194 4.194 6.851 Å, 90.00 90.00 120.00°
Positions (direct):
Be1 0.673 0.836 0.245
Be2 0.333 0.667 0.002
Be3 0.164 0.836 0.245
Be4 0.503 0.497 0.755
Be5 0.503 0.007 0.755
Be6 0.333 0.667 0.498
Be7 0.993 0.497 0.755
Be8 0.164 0.327 0.245
Fe1 0.000 0.000 0.932
Fe2 0.667 0.333 0.445
Fe3 0.667 0.333 0.061
V1 0.000 0.000 0.561

- Spin magnetization: 3.85 μB per cell
- Crystal system: trigonal
- Final energy: -0.415 Ry/atom

---

[10]
The following is a PBE-GGA calculation of BeVFe after structural relaxation, from Alexandria via LeMat-Bulk.

Cell: 3.798 2.957 11.301 Å, 90.00 90.00 90.00°
Positions (direct):
Be1 0.000 0.500 0.812
Be2 0.000 0.500 0.480
Be3 0.000 0.000 0.980
Be4 0.000 0.000 0.312
Fe1 0.500 0.500 0.317
Fe2 0.000 0.500 0.147
Fe3 0.000 0.000 0.647
Fe4 0.500 0.000 0.817
V1 0.500 0.500 0.969
V2 0.500 0.000 0.149
V3 0.500 0.000 0.469
V4 0.500 0.500 0.649

- Spin magnetization: 0.00 μB per cell
- Crystal system: orthorhombic
- Final energy: -0.529 Ry/atom
- Polymorph energy (0 for the lowest one): 0.041 eV/atom

---

[11]
The following is a PBE-GGA calculation of BeVFe14 after structural relaxation, from Alexandria via LeMat-Bulk.

Cell: 4.896 4.896 7.988 Å, 90.00 90.00 109.44°
Positions (direct):
Fe1 0.373 0.627 0.252
Fe2 0.125 0.375 0.000
Fe3 0.625 0.875 0.500
Fe4 0.372 0.122 0.253
Fe5 0.877 0.123 0.252
Fe6 0.878 0.628 0.747
Fe7 0.625 0.875 0.000
Fe8 0.372 0.122 0.747
Fe9 0.373 0.627 0.748
Fe10 0.878 0.628 0.253
Fe11 0.625 0.375 0.000
Fe12 0.125 0.875 0.000
Fe13 0.125 0.375 0.500
Fe14 0.877 0.123 0.748
Be1 0.124 0.876 0.500
V1 0.625 0.375 0.500

- Spin magnetization: 29.12 μB per cell
- Crystal system: orthorhombic
- Final energy: -0.606 Ry/atom

---

[12]
The following is a PBE-GGA calculation of BeV2Fe2 after structural relaxation, from Alexandria via LeMat-Bulk.

Cell: 6.534 6.534 2.770 Å, 90.00 90.00 90.00°
Positions (direct):
Fe1 0.359 0.859 0.000
Fe2 0.141 0.359 0.000
Fe3 0.859 0.641 0.000
Fe4 0.641 0.141 0.000
V1 0.835 0.335 0.500
V2 0.665 0.835 0.500
V3 0.335 0.165 0.500
V4 0.165 0.665 0.500
Be1 0.000 0.000 0.000
Be2 0.500 0.500 0.000

- Spin magnetization: 0.00 μB per cell
- Crystal system: tetragonal
- Final energy: -0.565 Ry/atom